1.
VASP calculation (PBE) on a relaxed structure of HfAsPbO.

```
data_HfAsPbO
_chemical_formula_sum 'Hf2 As2 Pb2 O2'
_cell_length_a 3.958
_cell_length_b 8.618
_cell_length_c 6.241
_cell_angle_alpha 90.00
_cell_angle_beta 90.00
_cell_angle_gamma 90.00
_space_group_name_H-M_alt 'P m c 21'
_space_group_IT_number 26
_space_group_name_Hall 'P 2c -2'
loop_
_atom_site_label
_atom_site_type_symbol
_atom_site_fract_x
_atom_site_fract_y
_atom_site_fract_z
Hf1 Hf 0.000 0.134 0.000
As1 As 0.500 0.327 0.963
Pb1 Pb 0.500 0.339 0.460
O1 O 0.000 0.012 0.263
```

## Properties
energy relative to the lowest polymorph listed for this composition: 0 meV/atom
crystal system: orthorhombic

2.
VASP calculation (PBE) on a relaxed structure of PmHfAsO.

```
data_PmHfAsO
_chemical_formula_sum 'Pm2 Hf2 As2 O2'
_cell_length_a 5.228
_cell_length_b 4.026
_cell_length_c 7.786
_cell_angle_alpha 90.00
_cell_angle_beta 90.00
_cell_angle_gamma 90.00
_space_group_name_H-M_alt 'P m m a'
_space_group_IT_number 51
_space_group_name_Hall '-P 2a 2a'
loop_
_atom_site_label
_atom_site_type_symbol
_atom_site_fract_x
_atom_site_fract_y
_atom_site_fract_z
Pm1 Pm 0.250 0.000 0.133
Hf1 Hf 0.250 0.500 0.740
As1 As 0.250 0.500 0.393
O1 O 0.250 0.000 0.819
```

## Properties
energy relative to the lowest polymorph listed for this composition: 178 meV/atom
crystal system: orthorhombic

3.
VASP calculation (PBE) on a relaxed structure of PmHfAsO.

```
data_PmHfAsO
_chemical_formula_sum 'Pm2 Hf2 As2 O2'
_cell_length_a 4.203
_cell_length_b 4.203
_cell_length_c 8.924
_cell_angle_alpha 90.00
_cell_angle_beta 90.00
_cell_angle_gamma 90.00
_space_group_name_H-M_alt 'P 4/n m m'
_space_group_IT_number 129
loop_
_space_group_symop_operation_xyz
'x,y,z'
'-x,-y,-z'
'-y+1/2,x,z'
'y+1/2,-x,-z'
'-x+1/2,-y+1/2,z'
'x+1/2,y+1/2,-z'
'y,-x+1/2,z'
'-y,x+1/2,-z'
'x+1/2,-y,-z'
'-x+1/2,y,z'
'-y,-x,-z'
'y,x,z'
'-x,y+1/2,-z'
'x,-y+1/2,z'
'y+1/2,x+1/2,-z'
'-y+1/2,-x+1/2,z'
loop_
_atom_site_label
_atom_site_type_symbol
_atom_site_fract_x
_atom_site_fract_y
_atom_site_fract_z
Pm1 Pm 0.250 0.250 0.120
Hf1 Hf 0.250 0.750 0.500
As1 As 0.250 0.250 0.690
O1 O 0.250 0.750 0.000
```

## Properties
energy relative to the lowest polymorph listed for this composition: 0 meV/atom
crystal system: tetragonal

4.
VASP calculation (PBE) on a relaxed structure of PmHfAsO.

```
data_PmHfAsO
_chemical_formula_sum 'Pm2 Hf2 As2 O2'
_cell_length_a 4.115
_cell_length_b 4.115
_cell_length_c 8.587
_cell_angle_alpha 90.00
_cell_angle_beta 90.00
_cell_angle_gamma 90.00
_space_group_name_H-M_alt 'P 4/n m m'
_space_group_IT_number 129
loop_
_space_group_symop_operation_xyz
'x,y,z'
'-x,-y,-z'
'-y+1/2,x,z'
'y+1/2,-x,-z'
'-x+1/2,-y+1/2,z'
'x+1/2,y+1/2,-z'
'y,-x+1/2,z'
'-y,x+1/2,-z'
'x+1/2,-y,-z'
'-x+1/2,y,z'
'-y,-x,-z'
'y,x,z'
'-x,y+1/2,-z'
'x,-y+1/2,z'
'y+1/2,x+1/2,-z'
'-y+1/2,-x+1/2,z'
loop_
_atom_site_label
_atom_site_type_symbol
_atom_site_fract_x
_atom_site_fract_y
_atom_site_fract_z
Pm1 Pm 0.250 0.750 0.000
Hf1 Hf 0.250 0.250 0.400
As1 As 0.250 0.250 0.750
O1 O 0.250 0.750 0.500
```

## Properties
energy relative to the lowest polymorph listed for this composition: 515 meV/atom
crystal system: tetragonal

5.
VASP calculation (PBE) on a relaxed structure of PmHfAsO.

```
data_PmHfAsO
_chemical_formula_sum 'Pm2 Hf2 As2 O2'
_cell_length_a 4.089
_cell_length_b 7.407
_cell_length_c 5.958
_cell_angle_alpha 90.00
_cell_angle_beta 90.00
_cell_angle_gamma 90.00
_space_group_name_H-M_alt 'P m c 21'
_space_group_IT_number 26
_space_group_name_Hall 'P 2c -2'
loop_
_atom_site_label
_atom_site_type_symbol
_atom_site_fract_x
_atom_site_fract_y
_atom_site_fract_z
Pm1 Pm 0.000 0.220 0.000
Hf1 Hf 0.500 0.394 0.555
As1 As 0.000 0.173 0.497
O1 O 0.500 0.356 0.898
```

## Properties
energy relative to the lowest polymorph listed for this composition: 183 meV/atom
crystal system: orthorhombic

6.
VASP calculation (PBE) on a relaxed structure of HfAsPtO.

```
data_HfAsPtO
_chemical_formula_sum 'Hf2 As2 Pt2 O2'
_cell_length_a 3.365
_cell_length_b 7.646
_cell_length_c 5.537
_cell_angle_alpha 90.00
_cell_angle_beta 90.00
_cell_angle_gamma 90.00
_space_group_name_H-M_alt 'P m c 21'
_space_group_IT_number 26
_space_group_name_Hall 'P 2c -2'
loop_
_atom_site_label
_atom_site_type_symbol
_atom_site_fract_x
_atom_site_fract_y
_atom_site_fract_z
Hf1 Hf 0.000 0.229 0.000
As1 As 0.000 0.308 0.489
Pt1 Pt 0.500 0.486 0.731
O1 O 0.500 0.095 0.009
```

## Properties
energy relative to the lowest polymorph listed for this composition: 0 meV/atom
crystal system: orthorhombic